The following is a GGA-PBE calculation of a geometry-optimized Pd structure, from the Open Quantum Materials Database.

The value obtained for the energy above the most stable polymorph in this dataset is 0.1055 eV per atom. The formation energy is 105.5 meV/atom.

The structure belongs to space group P6/mmm (No. 191); the cell edges are 4.4882, 4.4882 and 2.6711 Å and the angles 90.00°, 90.00° and 120.00°. The asymmetric unit holds Pd at (0.0000, 0.0000, 0.0000) and Pd at (0.3333, 0.6667, 0.5000).

The following is a GGA-PBE calculation of a geometry-optimized Y2CdAs structure, from the Open Quantum Materials Database.

For the total energy, the calculation gives -4.613 eV per atom.

The structure belongs to space group F-43m (No. 216); the cell edges are 7.367, 7.367 and 7.367 Å and the angles 90.00°, 90.00° and 90.00°. The asymmetric unit holds Y at (0.000, 0.000, 0.000), Y at (0.250, 0.250, 0.250), Cd at (0.250, 0.250, 0.750) and As at (0.000, 0.000, 0.500).

no.,calculated volume (Å³ per atom)
1,15.53
2,24.99